First-principles (PBE) data for an optimized crystal structure of CrTcNi2Sb, as listed in Alexandria.

Calculated values
* energy: -0.3950 Ry per atom
* DOS at the Fermi energy: 11.953 states/eV per cell
* formation energy (no corrections): 1.761 eV/atom

Cell: 4.4517 4.4517 4.7089 Å, 90.00 90.00 90.00°
Last column: nearest neighbours and their distance in Å.
Space group P4/mmm (No. 123)
Unique sites:
Cr (0.0000, 0.0000, 0.0000)  2 Sb 2.35
Tc (0.5000, 0.5000, 0.0000)  4 Cr 3.15, 8 Ni 3.24
Ni (0.0000, 0.5000, 0.5000)  2 Sb 2.23
Sb (0.0000, 0.0000, 0.5000)  4 Ni 2.23, 2 Cr 2.35



First-principles (PBE) data for an optimized crystal structure of Ca2ScTa, as listed in Alexandria.

Calculated values
* relative energy among the computed polymorphs: 0.163 eV/atom
* energy: -0.3692 Ry per atom
* DOS at the Fermi energy: 10.607 states/eV per cell
* energy relative to the elements: 0.523 eV/atom

Cell: 10.5553 3.1959 6.4688 Å, 90.00 97.49 90.00°
Last column: nearest neighbours and their distance in Å.
Space group Cm (No. 8)
Unique sites:
Ca (0.0000, 0.0000, 0.0000)  5 Ca 3.20-3.51, 2 Sc 3.27, 3 Ta 3.33-3.36
Ca (0.2373, 0.0000, 0.7135)  5 Ca 3.20-3.51, 3 Sc 3.28-3.49, 2 Ta 3.33
Sc (0.4753, 0.0000, 0.4340)  3 Ta 2.98-3.20, 2 Sc 3.20, 3 Ca 3.27-3.28
Ta (0.2468, 0.5000, 0.2648)  3 Sc 2.98-3.20, 2 Ta 3.20, 4 Ca 3.33



First-principles (PBE) data for an optimized crystal structure of LiReO6, as listed in Alexandria.

Calculated values
* energy: -0.4515 Ry per atom
* DOS at the Fermi energy: 20.846 states/eV per cell
* formation energy (no corrections): -0.629 eV/atom

Cell: 7.8554 7.8554 7.8554 Å, 90.00 90.00 90.00°
Last column: nearest neighbours and their distance in Å.
Space group Fm-3m (No. 225)
Unique sites:
Li (0.0000, 0.0000, 0.0000)  6 O 2.05
Re (0.0000, 0.0000, 0.5000)  6 O 1.87
O (0.0000, 0.0000, 0.2613)  1 Re 1.87, 1 Li 2.05



First-principles (PBE) data for an optimized crystal structure of LaEuTc4, as listed in Alexandria.

Calculated values
* energy: -0.6810 Ry per atom
* DOS at the Fermi energy: 30.063 states/eV per cell
* energy relative to the elements: 0.179 eV/atom

Cell: 7.7691 7.7691 7.7691 Å, 90.00 90.00 90.00°
Last column: nearest neighbours and their distance in Å.
Space group F-43m (No. 216)
Unique sites:
La (0.0000, 0.0000, 0.0000)  12 Tc 3.22, 4 Eu 3.36
Eu (0.2500, 0.2500, 0.7500)  12 Tc 3.22, 4 La 3.36
Tc (0.1249, 0.1249, 0.3751)  6 Tc 2.75